1.
# SbPdAu | Alexandria | PBE-GGA | optimized geometry
# - Formation energy from raw total energies: -0.195 eV/atom
data_SbPdAu
_chemical_formula_sum 'Sb1 Pd1 Au1'
_symmetry_space_group_name_H-M 'P 1'
_symmetry_Int_Tables_number 1
_symmetry_space_group_name_Hall 'P 1'
_cell_length_a 3.630
_cell_length_b 3.630
_cell_length_c 5.065
_cell_angle_alpha 111.00
_cell_angle_beta 111.00
_cell_angle_gamma 90.00
loop_
_atom_site_label
_atom_site_type_symbol
_atom_site_fract_x
_atom_site_fract_y
_atom_site_fract_z
Au1 Au 0.946 0.946 0.892
Sb1 Sb 0.625 0.625 0.251
Pd1 Pd 0.278 0.278 0.557

***

2.
# SrPrAlAg | Alexandria | PBE-GGA | optimized geometry
# - Energy of formation from the pure elements: -0.8 eV/f.u.
data_SrPrAlAg
_chemical_formula_sum 'Sr1 Pr1 Al1 Ag1'
_symmetry_space_group_name_H-M 'P 1'
_symmetry_Int_Tables_number 1
_symmetry_space_group_name_Hall 'P 1'
_cell_length_a 5.448
_cell_length_b 5.448
_cell_length_c 5.448
_cell_angle_alpha 60.00
_cell_angle_beta 60.00
_cell_angle_gamma 60.00
loop_
_atom_site_label
_atom_site_type_symbol
_atom_site_fract_x
_atom_site_fract_y
_atom_site_fract_z
Pr1 Pr 0.000 0.000 0.000
Al1 Al 0.750 0.750 0.750
Sr1 Sr 0.500 0.500 0.500
Ag1 Ag 0.250 0.250 0.250

***

3.
# TmAg2Hg2 | Alexandria | PBE-GGA | optimized geometry
# - Energy of formation from the pure elements: -0.7 eV/f.u.
# - E above lowest polymorph: 0.061 eV/atom
data_TmAg2Hg2
_chemical_formula_sum 'Tm2 Ag4 Hg4'
_symmetry_space_group_name_H-M 'P 1'
_symmetry_Int_Tables_number 1
_symmetry_space_group_name_Hall 'P 1'
_cell_length_a 4.835
_cell_length_b 6.674
_cell_length_c 7.447
_cell_angle_alpha 102.95
_cell_angle_beta 108.94
_cell_angle_gamma 90.00
loop_
_atom_site_label
_atom_site_type_symbol
_atom_site_fract_x
_atom_site_fract_y
_atom_site_fract_z
Ag1 Ag 0.901 0.451 0.802
Ag2 Ag 0.099 0.549 0.198
Ag3 Ag 0.901 0.951 0.802
Ag4 Ag 0.099 0.049 0.198
Hg1 Hg 0.706 0.604 0.411
Hg2 Hg 0.294 0.396 0.589
Hg3 Hg 0.706 0.104 0.411
Hg4 Hg 0.294 0.896 0.589
Tm1 Tm 0.500 0.750 0.000
Tm2 Tm 0.500 0.250 0.000

***

4.
# FeHg2Ru | Alexandria | PBE-GGA | optimized geometry
# - Energy of formation from the pure elements: 2.2 eV/f.u.
# - E above lowest polymorph: 0.225 eV/atom
data_FeHg2Ru
_chemical_formula_sum 'Fe1 Hg2 Ru1'
_symmetry_space_group_name_H-M 'P 1'
_symmetry_Int_Tables_number 1
_symmetry_space_group_name_Hall 'P 1'
_cell_length_a 4.923
_cell_length_b 4.923
_cell_length_c 2.991
_cell_angle_alpha 90.00
_cell_angle_beta 90.00
_cell_angle_gamma 108.53
loop_
_atom_site_label
_atom_site_type_symbol
_atom_site_fract_x
_atom_site_fract_y
_atom_site_fract_z
Hg1 Hg 0.000 0.000 0.000
Hg2 Hg 0.500 0.500 0.000
Fe1 Fe 0.000 0.500 0.500
Ru1 Ru 0.500 0.000 0.500

***

5.
# H2ICl2 | Alexandria | PBE-GGA | optimized geometry
# - Uncorrected energy: -2.7956 eV/atom
data_H2ICl2
_chemical_formula_sum 'H4 I2 Cl4'
_symmetry_space_group_name_H-M 'P 1'
_symmetry_Int_Tables_number 1
_symmetry_space_group_name_Hall 'P 1'
_cell_length_a 9.623
_cell_length_b 8.316
_cell_length_c 8.709
_cell_angle_alpha 38.10
_cell_angle_beta 56.50
_cell_angle_gamma 54.63
loop_
_atom_site_label
_atom_site_type_symbol
_atom_site_fract_x
_atom_site_fract_y
_atom_site_fract_z
H1 H 0.627 0.564 0.119
H2 H 0.690 0.064 0.619
H3 H 0.310 0.936 0.381
H4 H 0.373 0.436 0.881
Cl1 Cl 0.774 0.883 0.804
Cl2 Cl 0.226 0.117 0.196
Cl3 Cl 0.539 0.384 0.303
Cl4 Cl 0.461 0.616 0.697
I1 I 0.045 0.250 0.750
I2 I 0.955 0.750 0.250

***

6.
# CrHg3Pd | Alexandria | PBE-GGA | optimized geometry
# - Energy of formation from the pure elements: 2.7 eV/f.u.
# - E above lowest polymorph: 0.000 eV/atom
data_CrHg3Pd
_chemical_formula_sum 'Cr1 Hg3 Pd1'
_symmetry_space_group_name_H-M 'P 1'
_symmetry_Int_Tables_number 1
_symmetry_space_group_name_Hall 'P 1'
_cell_length_a 5.238
_cell_length_b 5.238
_cell_length_c 5.238
_cell_angle_alpha 90.00
_cell_angle_beta 90.00
_cell_angle_gamma 90.00
loop_
_atom_site_label
_atom_site_type_symbol
_atom_site_fract_x
_atom_site_fract_y
_atom_site_fract_z
Hg1 Hg 0.000 0.500 0.000
Hg2 Hg 0.000 0.000 0.500
Hg3 Hg 0.500 0.000 0.000
Pd1 Pd 0.000 0.000 0.000
Cr1 Cr 0.500 0.500 0.500

***

7.
# HfMgPO2 | Alexandria | PBE-GGA | optimized geometry
# - E above lowest polymorph: 0.000 eV/atom
# - Formation energy from raw total energies: -1.689 eV/atom
data_HfMgPO2
_chemical_formula_sum 'Hf1 Mg1 P1 O2'
_symmetry_space_group_name_H-M 'P 1'
_symmetry_Int_Tables_number 1
_symmetry_space_group_name_Hall 'P 1'
_cell_length_a 4.003
_cell_length_b 4.003
_cell_length_c 5.462
_cell_angle_alpha 90.00
_cell_angle_beta 90.00
_cell_angle_gamma 90.00
loop_
_atom_site_label
_atom_site_type_symbol
_atom_site_fract_x
_atom_site_fract_y
_atom_site_fract_z
Mg1 Mg 0.500 0.500 0.500
O1 O 0.500 0.000 0.000
O2 O 0.000 0.500 0.000
P1 P 0.000 0.000 0.500
Hf1 Hf 0.000 0.000 0.000

***

8.
# RbLi2Ru | Alexandria | PBE-GGA | optimized geometry
# - Energy of formation from the pure elements: 3.6 eV/f.u.
# - E above lowest polymorph: 0.000 eV/atom
data_RbLi2Ru
_chemical_formula_sum 'Rb1 Li2 Ru1'
_symmetry_space_group_name_H-M 'P 1'
_symmetry_Int_Tables_number 1
_symmetry_space_group_name_Hall 'P 1'
_cell_length_a 5.037
_cell_length_b 5.037
_cell_length_c 5.037
_cell_angle_alpha 60.00
_cell_angle_beta 60.00
_cell_angle_gamma 60.00
loop_
_atom_site_label
_atom_site_type_symbol
_atom_site_fract_x
_atom_site_fract_y
_atom_site_fract_z
Ru1 Ru 0.500 0.500 0.500
Li1 Li 0.250 0.250 0.250
Li2 Li 0.750 0.750 0.750
Rb1 Rb 0.000 0.000 0.000

***

9.
# TiNb2Mo3 | Alexandria | PBE-GGA | optimized geometry
# - Energy of formation from the pure elements: -0.6 eV/f.u.
# - E above lowest polymorph: 0.005 eV/atom
data_TiNb2Mo3
_chemical_formula_sum 'Ti1 Nb2 Mo3'
_symmetry_space_group_name_H-M 'P 1'
_symmetry_Int_Tables_number 1
_symmetry_space_group_name_Hall 'P 1'
_cell_length_a 3.215
_cell_length_b 3.215
_cell_length_c 9.608
_cell_angle_alpha 90.00
_cell_angle_beta 90.00
_cell_angle_gamma 90.00
loop_
_atom_site_label
_atom_site_type_symbol
_atom_site_fract_x
_atom_site_fract_y
_atom_site_fract_z
Mo1 Mo 0.000 0.000 0.336
Mo2 Mo 0.000 0.000 0.000
Mo3 Mo 0.000 0.000 0.664
Ti1 Ti 0.500 0.500 0.500
Nb1 Nb 0.500 0.500 0.169
Nb2 Nb 0.500 0.500 0.831

***

10.
# LiSi2AgTe6 | Alexandria | PBE-GGA | optimized geometry
# - Formation energy from raw total energies: -0.093 eV/atom
data_LiSi2AgTe6
_chemical_formula_sum 'Li2 Si4 Ag2 Te12'
_symmetry_space_group_name_H-M 'P 1'
_symmetry_Int_Tables_number 1
_symmetry_space_group_name_Hall 'P 1'
_cell_length_a 7.209
_cell_length_b 10.194
_cell_length_c 10.194
_cell_angle_alpha 87.93
_cell_angle_beta 75.95
_cell_angle_gamma 75.95
loop_
_atom_site_label
_atom_site_type_symbol
_atom_site_fract_x
_atom_site_fract_y
_atom_site_fract_z
Te1 Te 0.858 0.029 0.174
Te2 Te 0.358 0.174 0.029
Te3 Te 0.523 0.572 0.696
Te4 Te 0.023 0.696 0.572
Te5 Te 0.977 0.304 0.428
Te6 Te 0.573 0.090 0.568
Te7 Te 0.142 0.971 0.826
Te8 Te 0.642 0.826 0.971
Te9 Te 0.073 0.568 0.090
Te10 Te 0.477 0.428 0.304
Te11 Te 0.927 0.432 0.910
Te12 Te 0.427 0.910 0.432
Ag1 Ag 0.250 0.228 0.772
Ag2 Ag 0.750 0.772 0.228
Si1 Si 0.782 0.648 0.789
Si2 Si 0.718 0.211 0.352
Si3 Si 0.218 0.352 0.211
Si4 Si 0.282 0.789 0.648
Li1 Li 0.250 0.931 0.069
Li2 Li 0.750 0.069 0.931

***

11.
# MgNb2Br | Alexandria | PBE-GGA | optimized geometry
# - E above lowest polymorph: 0.000 eV/atom
# - Formation energy from raw total energies: 0.466 eV/atom
data_MgNb2Br
_chemical_formula_sum 'Mg2 Nb4 Br2'
_symmetry_space_group_name_H-M 'P 1'
_symmetry_Int_Tables_number 1
_symmetry_space_group_name_Hall 'P 1'
_cell_length_a 3.908
_cell_length_b 3.908
_cell_length_c 11.222
_cell_angle_alpha 79.97
_cell_angle_beta 79.97
_cell_angle_gamma 90.00
loop_
_atom_site_label
_atom_site_type_symbol
_atom_site_fract_x
_atom_site_fract_y
_atom_site_fract_z
Nb1 Nb 0.375 0.382 0.750
Nb2 Nb 0.875 0.868 0.750
Nb3 Nb 0.618 0.125 0.250
Nb4 Nb 0.132 0.625 0.250
Br1 Br 0.000 0.000 0.000
Br2 Br 0.750 0.250 0.500
Mg1 Mg 0.500 0.500 0.000
Mg2 Mg 0.250 0.750 0.500

***

12.
# Nd2Sm7Er2 | Alexandria | PBE-GGA | optimized geometry
# - Energy of formation from the pure elements: 1.1 eV/f.u.
# - E above lowest polymorph: 0.000 eV/atom
data_Nd2Sm7Er2
_chemical_formula_sum 'Nd2 Sm7 Er2'
_symmetry_space_group_name_H-M 'P 1'
_symmetry_Int_Tables_number 1
_symmetry_space_group_name_Hall 'P 1'
_cell_length_a 9.989
_cell_length_b 6.385
_cell_length_c 6.385
_cell_angle_alpha 113.90
_cell_angle_beta 91.21
_cell_angle_gamma 91.21
loop_
_atom_site_label
_atom_site_type_symbol
_atom_site_fract_x
_atom_site_fract_y
_atom_site_fract_z
Sm1 Sm 0.000 0.000 0.000
Sm2 Sm 0.633 0.820 0.820
Sm3 Sm 0.367 0.180 0.180
Sm4 Sm 0.149 0.166 0.577
Sm5 Sm 0.851 0.423 0.834
Sm6 Sm 0.149 0.577 0.166
Sm7 Sm 0.851 0.834 0.423
Er1 Er 0.500 0.274 0.726
Er2 Er 0.500 0.726 0.274
Nd1 Nd 0.284 0.699 0.699
Nd2 Nd 0.716 0.301 0.301